Entry 1:
Compound: Sm2Dy2ErSc
Source: the Alexandria database
Functional: PBE
Structure: optimized geometry

Cell lengths 6.849, 5.569, 9.632 Å; angles 90.00, 90.00, 90.00 degrees
Space group Pmma (No. 51)
Unique sites:
1 Sm 0.000 0.000 0.000
2 Sm 0.250 0.500 0.186
3 Dy 0.250 0.000 0.331
4 Dy 0.250 0.500 0.837
5 Er 0.250 0.000 0.653
6 Sc 0.000 0.500 0.500

Entry 2:
Compound: Sm2DyEr6Sc3
Source: the Alexandria database
Functional: PBE
Structure: optimized geometry

Cell lengths 6.030, 10.439, 11.443 Å; angles 90.00, 100.10, 90.00 degrees
Space group C2/m (No. 12)
Unique sites:
1 Sm 0.000 0.167 0.000
2 Dy 0.000 0.500 0.000
3 Er 0.246 0.500 0.740
4 Er 0.247 0.167 0.740
5 Sc 0.000 0.000 0.500
6 Sc 0.000 0.333 0.500

Entry 3:
Compound: Sm5DyErSc2
Source: the Alexandria database
Functional: PBE
Structure: optimized geometry

Cell lengths 5.650, 21.667, 9.422 Å; angles 90.00, 90.00, 90.00 degrees
Space group Cmc2_1 (No. 36)
Unique sites:
1 Sm 0.000 0.012 0.000
2 Sm 0.000 0.267 0.319
3 Sm 0.000 0.304 0.708
4 Sm 0.000 0.392 0.039
5 Sm 0.000 0.468 0.740
6 Dy 0.000 0.183 0.009
7 Er 0.000 0.401 0.412
8 Sc 0.000 0.114 0.319
9 Sc 0.000 0.132 0.698

Entry 4:
Compound: SmDy3Er6Sc2
Source: the Alexandria database
Functional: PBE
Structure: optimized geometry

Cell lengths 6.038, 10.448, 11.555 Å; angles 90.00, 99.99, 90.00 degrees
Space group C2/m (No. 12)
Unique sites:
1 Sm 0.000 0.000 0.000
2 Dy 0.000 0.167 0.500
3 Dy 0.000 0.500 0.500
4 Er 0.246 0.500 0.246
5 Er 0.250 0.168 0.246
6 Sc 0.000 0.333 0.000

Entry 5:
Compound: Tb2Dy6ErSc
Source: the Alexandria database
Functional: PBE
Structure: optimized geometry

Cell lengths 8.986, 14.791, 9.456 Å; angles 90.00, 98.03, 90.00 degrees
Space group C2/c (No. 15)
Unique sites:
1 Tb 0.250 0.051 0.046
2 Dy 0.061 0.187 0.444
3 Dy 0.102 0.394 0.618
4 Dy 0.212 0.220 0.810
5 Er 0.000 0.021 0.750
6 Sc 0.000 0.412 0.250

Entry 6:
Compound: Tb6Dy2Er3Sc
Source: the Alexandria database
Functional: PBE
Structure: optimized geometry

Cell lengths 6.101, 10.558, 11.643 Å; angles 90.00, 100.01, 90.00 degrees
Space group C2/m (No. 12)
Unique sites:
1 Tb 0.248 0.000 0.251
2 Tb 0.248 0.165 0.748
3 Dy 0.000 0.333 0.500
4 Er 0.000 0.166 0.000
5 Er 0.000 0.500 0.000
6 Sc 0.000 0.000 0.500

Entry 7:
Compound: Tb2DyEr4Sc
Source: the Alexandria database
Functional: PBE
Structure: optimized geometry

Cell lengths 4.943, 4.943, 9.870 Å; angles 90.00, 90.00, 90.00 degrees
Space group P4/mmm (No. 123)
Unique sites:
1 Tb 0.000 0.000 0.000
2 Tb 0.500 0.500 0.500
3 Dy 0.000 0.000 0.500
4 Er 0.000 0.500 0.245
5 Sc 0.500 0.500 0.000

Entry 8:
Compound: Tb4Dy2ErSc
Source: the Alexandria database
Functional: PBE
Structure: optimized geometry

Cell lengths 4.974, 4.974, 9.896 Å; angles 90.00, 90.00, 90.00 degrees
Space group P4/mmm (No. 123)
Unique sites:
1 Tb 0.000 0.500 0.245
2 Dy 0.000 0.000 0.000
3 Dy 0.500 0.500 0.500
4 Er 0.000 0.000 0.500
5 Sc 0.500 0.500 0.000

Entry 9:
Compound: TbDy3ErSc
Source: the Alexandria database
Functional: PBE
Structure: optimized geometry

Cell lengths 4.932, 14.825, 9.889 Å; angles 90.00, 90.00, 90.00 degrees
Space group Cmcm (No. 63)
Unique sites:
1 Tb 0.000 0.002 0.250
2 Dy 0.000 0.167 0.001
3 Dy 0.000 0.331 0.250
4 Er 0.000 0.500 0.000
5 Sc 0.000 0.333 0.750

Entry 10:
Compound: Tb6DyEr3Sc2
Source: the Alexandria database
Functional: PBE
Structure: optimized geometry

Cell lengths 6.068, 10.500, 11.537 Å; angles 90.00, 100.06, 90.00 degrees
Space group C2/m (No. 12)
Unique sites:
1 Tb 0.246 0.000 0.246
2 Tb 0.250 0.168 0.754
3 Dy 0.000 0.500 0.000
4 Er 0.000 0.000 0.500
5 Er 0.000 0.333 0.500
6 Sc 0.000 0.167 0.000

Entry 11:
Compound: Tb3DyErSc
Source: the Alexandria database
Functional: PBE
Structure: optimized geometry

Cell lengths 4.942, 14.850, 9.904 Å; angles 90.00, 90.00, 90.00 degrees
Space group Cmcm (No. 63)
Unique sites:
1 Tb 0.000 0.167 0.001
2 Tb 0.000 0.331 0.250
3 Dy 0.000 0.002 0.250
4 Er 0.000 0.500 0.000
5 Sc 0.000 0.333 0.750

Entry 12:
Compound: Tb4DyErSc2
Source: the Alexandria database
Functional: PBE
Structure: optimized geometry

Cell lengths 7.002, 7.003, 11.237 Å; angles 89.99, 89.99, 60.02 degrees
Space group P-1 (No. 2)
Unique sites:
1 Tb 0.165 0.169 0.253
2 Tb 0.167 0.666 0.256
3 Tb 0.331 0.335 0.747
4 Tb 0.332 0.832 0.745
5 Dy 0.500 0.000 0.000
6 Dy 0.500 0.500 0.000
7 Er 0.000 0.000 0.000
8 Er 0.500 0.000 0.500
9 Sc 0.000 0.000 0.500
10 Sc 0.000 0.500 0.000
11 Sc 0.000 0.500 0.500
12 Sc 0.500 0.500 0.500

Sequential calculated total energy output: -28.97 -59.88 -43.95 -58.13 -46.52 -56.70 -38.19 -38.39 -29.12 -58.32 -29.18 -40.05 eV/f.u.
Sequential DFT formation energy output: 0.095 0.044 0.164 0.037 0.125 0.026 0.032 0.029 0.035 0.035 0.035 0.037 eV/atom